RbTmCoSe3 | GGA-PBE | optimized geometry

Summary:
For the magnetization, the calculation gives 0.34 μB per atom. The calculation puts the raw total energy at -0.34944 Ry/atom. For the volume, the calculation gives 299.8 Å³/cell.

Unit cell a=8.6161 b=8.6161 c=8.7333 alpha=101.61 beta=101.61 gamma=28.21
Element x y z (fractional)
Rb: 0.1508 0.1508 0.0652
Rb: 0.8492 0.8492 0.9348
Tm: 0.1665 0.1665 0.5780
Tm: 0.8335 0.8335 0.4220
Co: 0.4963 0.4963 0.7083
Co: 0.5037 0.5037 0.2917
Se: 0.0000 0.0000 0.5000
Se: 0.3408 0.3408 0.6432
Se: 0.3568 0.3568 0.2254
Se: 0.5000 0.5000 0.0000
Se: 0.6432 0.6432 0.7746
Se: 0.6592 0.6592 0.3568